Density functional theory data (GGA-PBE) for a relaxed BeNb2O4 crystal.

POSCAR file:
```
BeNb2O4
1.0
0.0000 4.1296 4.1296
4.1296 0.0000 4.1296
4.1296 4.1296 0.0000
Be Nb O
2 4 8
direct
0.1250 0.1250 0.1250
0.8750 0.8750 0.8750
0.0000 0.5000 0.5000
0.5000 0.0000 0.5000
0.5000 0.5000 0.0000
0.5000 0.5000 0.5000
0.2176 0.7608 0.7608
0.2392 0.2392 0.2392
0.2392 0.2392 0.7824
0.2392 0.7824 0.2392
0.7608 0.2176 0.7608
0.7608 0.7608 0.2176
0.7608 0.7608 0.7608
0.7824 0.2392 0.2392
```

Values from the calculation:
**Uncorrected energy**: -0.3143 Ha/atom
**Magnetization**: 0.01 μB/f.u.


Density functional theory data (GGA-PBE) for a relaxed ScIr crystal.

POSCAR file:
```
ScIr
1.0
0.0000 2.6762 2.6762
2.6762 0.0000 2.6762
2.6762 2.6762 0.0000
Sc Ir
1 1
direct
0.0000 0.0000 0.0000
0.5000 0.5000 0.5000
```

Values from the calculation:
**Uncorrected energy**: -0.2930 Ha/atom
**E_form**: -381 meV/atom
**Magnetization**: 0.00 μB/f.u.


Density functional theory data (GGA-PBE) for a relaxed SrTbTe2AuS crystal.

POSCAR file:
```
SrTbTe2AuS
1.0
2.1583 -7.3016 0.0000
2.1583 7.3016 0.0000
0.0000 0.0000 10.6130
Sr Tb Te Au S
2 2 4 2 2
direct
0.2264 0.7736 0.7500
0.7736 0.2264 0.2500
0.5000 0.5000 0.0000
0.5000 0.5000 0.5000
0.1492 0.8508 0.0579
0.1492 0.8508 0.4421
0.8508 0.1492 0.5579
0.8508 0.1492 0.9421
0.0201 0.9799 0.2500
0.9799 0.0201 0.7500
0.4230 0.5770 0.2500
0.5770 0.4230 0.7500
```

Values from the calculation:
**Uncorrected energy**: -0.1700 Ha/atom
**Magnetization**: 0.00 μB/f.u.


Density functional theory data (GGA-PBE) for a relaxed CdIrNO crystal.

POSCAR file:
```
CdIrNO
1.0
3.7143 0.0000 0.0000
0.0000 3.7143 0.0000
0.0000 0.0000 7.1795
Cd Ir N O
2 2 2 2
direct
0.2500 0.7500 0.0000
0.7500 0.2500 0.0000
0.2500 0.2500 0.3459
0.7500 0.7500 0.6541
0.2500 0.2500 0.7829
0.7500 0.7500 0.2171
0.2500 0.7500 0.5000
0.7500 0.2500 0.5000
```

Values from the calculation:
**Excess energy over the best structure of this formula in the dataset**: 1187.7 meV/atom
**Uncorrected energy**: -0.1698 Ha/atom
**Magnetization**: 0.02 μB/f.u.


Density functional theory data (GGA-PBE) for a relaxed ScBMo crystal.

POSCAR file:
```
ScBMo
1.0
0.0000 2.7978 2.7978
2.7978 0.0000 2.7978
2.7978 2.7978 0.0000
Sc B Mo
1 1 1
direct
0.0000 0.0000 0.0000
0.7500 0.7500 0.7500
0.5000 0.5000 0.5000
```

Values from the calculation:
**Excess energy over the best structure of this formula in the dataset**: 0.0 meV/atom
**Uncorrected energy**: -0.2907 Ha/atom
**Magnetization**: 0.00 μB/f.u.


Density functional theory data (GGA-PBE) for a relaxed Dy3HoB2Pb2 crystal.

POSCAR file:
```
Dy3HoB2Pb2
1.0
3.6913 0.0000 0.0000
-1.8457 3.1968 0.0000
0.0000 0.0000 16.7033
Dy Ho B Pb
3 1 2 2
direct
0.0000 0.0000 0.0000
0.0000 0.0000 0.3215
0.6667 0.3333 0.8207
0.6667 0.3333 0.4995
0.3333 0.6667 0.4109
0.3333 0.6667 0.9103
0.0000 0.0000 0.6597
0.6667 0.3333 0.1606
```

Values from the calculation:
**Uncorrected energy**: -0.1872 Ha/atom
**Magnetization**: 0.03 μB/f.u.


What did the first record say?
Density functional theory data (GGA-PBE) for a relaxed BeNb2O4 crystal.

POSCAR file:
```
BeNb2O4
1.0
0.0000 4.1296 4.1296
4.1296 0.0000 4.1296
4.1296 4.1296 0.0000
Be Nb O
2 4 8
direct
0.1250 0.1250 0.1250
0.8750 0.8750 0.8750
0.0000 0.5000 0.5000
0.5000 0.0000 0.5000
0.5000 0.5000 0.0000
0.5000 0.5000 0.5000
0.2176 0.7608 0.7608
0.2392 0.2392 0.2392
0.2392 0.2392 0.7824
0.2392 0.7824 0.2392
0.7608 0.2176 0.7608
0.7608 0.7608 0.2176
0.7608 0.7608 0.7608
0.7824 0.2392 0.2392
```

Values from the calculation:
**Uncorrected energy**: -0.3143 Ha/atom
**Magnetization**: 0.01 μB/f.u.


Among the records above, which one has the highest magnetization?
Dy3HoB2Pb2


Which value of uncorrected energy does entry 2 give?
-0.2930 Ha/atom